Entry w
# Eu2CdSb | Alexandria | PBE | relaxed
data_Eu2CdSb
_chemical_formula_sum 'Eu8 Cd4 Sb4'
_cell_length_a 7.853
_cell_length_b 7.853
_cell_length_c 7.853
_cell_angle_alpha 90.00
_cell_angle_beta 90.00
_cell_angle_gamma 90.00
_symmetry_space_group_name_H-M 'F m -3 m'
_symmetry_Int_Tables_number 225
_symmetry_space_group_name_Hall '-F 4 2 3'
loop_
_atom_site_label
_atom_site_type_symbol
_atom_site_fract_x
_atom_site_fract_y
_atom_site_fract_z
Eu1 Eu 0.250 0.250 0.250
Cd1 Cd 0.000 0.000 0.000
Sb1 Sb 0.000 0.000 0.500
# Crystal system ... cubic
# V ... 30.27 Å³ per atom
# Magnetization ... 14.9 μB per formula unit


Entry x
# Eu2CdSb | Alexandria | PBE | relaxed
data_Eu2CdSb
_chemical_formula_sum 'Eu2 Cd1 Sb1'
_cell_length_a 5.308
_cell_length_b 5.308
_cell_length_c 4.298
_cell_angle_alpha 90.00
_cell_angle_beta 90.00
_cell_angle_gamma 90.00
_symmetry_space_group_name_H-M 'P 4/m m m'
_symmetry_Int_Tables_number 123
_symmetry_space_group_name_Hall '-P 4 2'
loop_
_atom_site_label
_atom_site_type_symbol
_atom_site_fract_x
_atom_site_fract_y
_atom_site_fract_z
Eu1 Eu 0.000 0.500 0.000
Cd1 Cd 0.000 0.000 0.500
Sb1 Sb 0.500 0.500 0.500
# Crystal system ... tetragonal
# V ... 30.27 Å³ per atom
# Magnetization ... 14.2 μB per formula unit


Which structure is the least stable? The one labeled entry w.


Entry w
# EuSc2Cd | Alexandria | PBE | relaxed
data_EuSc2Cd
_chemical_formula_sum 'Eu1 Sc2 Cd1'
_cell_length_a 3.423
_cell_length_b 3.423
_cell_length_c 9.124
_cell_angle_alpha 90.00
_cell_angle_beta 90.00
_cell_angle_gamma 90.00
_symmetry_space_group_name_H-M 'P 4/m m m'
_symmetry_Int_Tables_number 123
_symmetry_space_group_name_Hall '-P 4 2'
loop_
_atom_site_label
_atom_site_type_symbol
_atom_site_fract_x
_atom_site_fract_y
_atom_site_fract_z
Eu1 Eu 0.000 0.000 0.000
Sc1 Sc 0.500 0.500 0.291
Cd1 Cd 0.000 0.000 0.500
# Crystal system ... tetragonal
# V ... 26.72 Å³ per atom
# Magnetization ... 8.0 μB per formula unit


Entry x
# EuSc2Cd | Alexandria | PBE | relaxed
data_EuSc2Cd
_chemical_formula_sum 'Eu4 Sc8 Cd4'
_cell_length_a 7.409
_cell_length_b 7.409
_cell_length_c 7.409
_cell_angle_alpha 90.00
_cell_angle_beta 90.00
_cell_angle_gamma 90.00
_symmetry_space_group_name_H-M 'F m -3 m'
_symmetry_Int_Tables_number 225
_symmetry_space_group_name_Hall '-F 4 2 3'
loop_
_atom_site_label
_atom_site_type_symbol
_atom_site_fract_x
_atom_site_fract_y
_atom_site_fract_z
Eu1 Eu 0.000 0.000 0.000
Sc1 Sc 0.250 0.250 0.250
Cd1 Cd 0.000 0.000 0.500
# Crystal system ... cubic
# V ... 25.42 Å³ per atom
# Magnetization ... 8.3 μB per formula unit


Which structure is the least stable? The one labeled entry x.